{"formula": "Zr2SnGeTe2", "functional": "PBE", "state": "optimized geometry", "e_tot_ev_per_cell": -36.39, "cell": [[3.997, 0.000, 0.000], [0.000, 3.997, 0.000], [0.000, 0.000, 8.739]], "species": ["Zr", "Zr", "Sn", "Ge", "Te", "Te"], "frac_coords": [[0.000, 0.500, 0.243], [0.500, 0.000, 0.757], [0.500, 0.500, 0.500], [0.000, 0.000, 0.500], [0.000, 0.500, 0.881], [0.500, 0.000, 0.119]]}